{
  "formula": "Sr3LaOs",
  "functional": "GGA-PBE",
  "state": "optimized geometry",
  "cell": [[5.940, 0.000, 0.000], [0.000, 5.940, 0.000], [0.000, 0.000, 5.940]],
  "species": ["Sr", "Sr", "Sr", "La", "Os"],
  "frac_coords": [[0.000, 0.000, 0.500], [0.000, 0.500, 0.000], [0.500, 0.000, 0.000], [0.000, 0.000, 0.000], [0.500, 0.500, 0.500]],
  "energy_ev_per_cell": -11.6,
  "total_magnetization_mub_per_cell": 3.8,
  "e_form_mev_per_atom": 1916.7
}



{
  "formula": "Sr2LaOs",
  "functional": "GGA-PBE",
  "state": "optimized geometry",
  "cell": [[5.174, 0.000, 0.000], [0.000, 5.187, 0.000], [0.000, 0.000, 10.452]],
  "species": ["Sr", "Sr", "Sr", "Sr", "La", "La", "Os", "Os"],
  "frac_coords": [[0.000, 0.000, 0.000], [0.000, 0.500, 0.345], [0.500, 0.000, 0.345], [0.500, 0.500, 0.000], [0.000, 0.500, 0.673], [0.500, 0.000, 0.673], [0.000, 0.000, 0.532], [0.500, 0.500, 0.532]],
  "energy_ev_per_cell": -37.5,
  "total_magnetization_mub_per_cell": 0.0,
  "e_form_mev_per_atom": 197.4
}



{
  "formula": "SrLaOs2",
  "functional": "GGA-PBE",
  "state": "optimized geometry",
  "cell": [[7.129, 0.000, 0.000], [0.000, 7.129, 0.000], [0.000, 0.000, 7.129]],
  "species": ["Sr", "Sr", "Sr", "Sr", "La", "La", "La", "La", "Os", "Os", "Os", "Os", "Os", "Os", "Os", "Os"],
  "frac_coords": [[0.000, 0.000, 0.000], [0.000, 0.500, 0.500], [0.500, 0.000, 0.500], [0.500, 0.500, 0.000], [0.000, 0.000, 0.500], [0.000, 0.500, 0.000], [0.500, 0.000, 0.000], [0.500, 0.500, 0.500], [0.250, 0.250, 0.250], [0.250, 0.250, 0.750], [0.250, 0.750, 0.250], [0.250, 0.750, 0.750], [0.750, 0.250, 0.250], [0.750, 0.250, 0.750], [0.750, 0.750, 0.250], [0.750, 0.750, 0.750]],
  "energy_ev_per_cell": -103.9,
  "total_magnetization_mub_per_cell": 0.0,
  "e_form_mev_per_atom": 772.4
}



{
  "formula": "SrLaOs2",
  "functional": "GGA-PBE",
  "state": "optimized geometry",
  "cell": [[3.471, 0.000, 0.000], [0.000, 5.171, 0.000], [0.000, 0.000, 9.442]],
  "species": ["Sr", "Sr", "La", "La", "Os", "Os", "Os", "Os"],
  "frac_coords": [[0.000, 0.000, 0.000], [0.500, 0.500, 0.500], [0.000, 0.000, 0.500], [0.500, 0.500, 0.000], [0.000, 0.500, 0.240], [0.000, 0.500, 0.760], [0.500, 0.000, 0.260], [0.500, 0.000, 0.740]],
  "energy_ev_per_cell": -51.4,
  "total_magnetization_mub_per_cell": 0.0,
  "e_form_mev_per_atom": 843.6
}